# ThZnCu11 PBE relaxed
data_ThZnCu11
_chemical_formula_sum 'Th2 Zn2 Cu22'
_cell_length_a 4.881
_cell_length_b 11.985
_cell_length_c 6.576
_cell_angle_alpha 90.00
_cell_angle_beta 110.71
_cell_angle_gamma 90.00
_space_group_name_H-M_alt 'C 1 2/m 1'
_space_group_IT_number 12
loop_
_space_group_symop_operation_xyz
'x,y,z'
'-x,-y,-z'
'-x,y,-z'
'x,-y,z'
'x+1/2,y+1/2,z'
'-x+1/2,-y+1/2,-z'
'-x+1/2,y+1/2,-z'
'x+1/2,-y+1/2,z'
loop_
_atom_site_label
_atom_site_type_symbol
_atom_site_fract_x
_atom_site_fract_y
_atom_site_fract_z
Th1 Th 0.000 0.000 0.000
Zn1 Zn 0.000 0.500 0.500
Cu1 Cu 0.000 0.000 0.500
Cu2 Cu 0.109 0.388 0.223
Cu3 Cu 0.163 0.180 0.353
Cu4 Cu 0.250 0.250 0.000
# Formation energy from the elements (meV per atom): -77

# Th2ZnCu6 PBE relaxed
data_Th2ZnCu6
_chemical_formula_sum 'Th2 Zn1 Cu6'
_cell_length_a 5.5193
_cell_length_b 5.5193
_cell_length_c 5.8395
_cell_angle_alpha 90.00
_cell_angle_beta 90.00
_cell_angle_gamma 120.00
_space_group_name_H-M_alt 'P -3 m 1'
_space_group_IT_number 164
_space_group_name_Hall '-P 3 2"'
loop_
_atom_site_label
_atom_site_type_symbol
_atom_site_fract_x
_atom_site_fract_y
_atom_site_fract_z
Th1 Th 0.3333 0.6667 0.1598
Zn1 Zn 0.0000 0.0000 0.0000
Cu1 Cu 0.1768 0.3537 0.6585
# Formation energy from the elements (meV per atom): -118

# Th4ZnCu PBE relaxed
data_Th4ZnCu
_chemical_formula_sum 'Th16 Zn4 Cu4'
_cell_length_a 7.223
_cell_length_b 7.223
_cell_length_c 12.443
_cell_angle_alpha 90.00
_cell_angle_beta 90.00
_cell_angle_gamma 90.00
_space_group_name_H-M_alt 'I 4/m c m'
_space_group_IT_number 140
_space_group_name_Hall '-I 4 2c'
loop_
_atom_site_label
_atom_site_type_symbol
_atom_site_fract_x
_atom_site_fract_y
_atom_site_fract_z
Th1 Th 0.158 0.342 0.135
Zn1 Zn 0.000 0.000 0.000
Cu1 Cu 0.000 0.000 0.250
# Formation energy from the elements (meV per atom): 5

# Th2Zn7Cu PBE relaxed
data_Th2Zn7Cu
_chemical_formula_sum 'Th2 Zn7 Cu1'
_cell_length_a 4.337
_cell_length_b 4.337
_cell_length_c 9.950
_cell_angle_alpha 90.00
_cell_angle_beta 90.00
_cell_angle_gamma 90.00
_space_group_name_H-M_alt 'P -4 m 2'
_space_group_IT_number 115
loop_
_space_group_symop_operation_xyz
'x,y,z'
'y,-x,-z'
'-x,-y,z'
'-y,x,-z'
'-x,y,z'
'-y,-x,-z'
'x,-y,z'
'y,x,-z'
loop_
_atom_site_label
_atom_site_type_symbol
_atom_site_fract_x
_atom_site_fract_y
_atom_site_fract_z
Th1 Th 0.000 0.500 0.243
Zn1 Zn 0.000 0.000 0.000
Zn2 Zn 0.000 0.000 0.500
Zn3 Zn 0.000 0.500 0.632
Zn4 Zn 0.000 0.500 0.875
Zn5 Zn 0.500 0.500 0.500
Cu1 Cu 0.500 0.500 0.000
# Formation energy from the elements (meV per atom): -244

# Th3Zn5Cu6 PBE relaxed
data_Th3Zn5Cu6
_chemical_formula_sum 'Th6 Zn10 Cu12'
_cell_length_a 4.358
_cell_length_b 8.894
_cell_length_c 12.766
_cell_angle_alpha 90.00
_cell_angle_beta 90.00
_cell_angle_gamma 90.00
_space_group_name_H-M_alt 'I m m m'
_space_group_IT_number 71
_space_group_name_Hall '-I 2 2'
loop_
_atom_site_label
_atom_site_type_symbol
_atom_site_fract_x
_atom_site_fract_y
_atom_site_fract_z
Th1 Th 0.000 0.000 0.000
Th2 Th 0.000 0.000 0.310
Zn1 Zn 0.000 0.354 0.331
Zn2 Zn 0.000 0.500 0.000
Cu1 Cu 0.000 0.209 0.500
Cu2 Cu 0.000 0.280 0.124
# Formation energy from the elements (meV per atom): -226

# ThZn2Cu4 PBE relaxed
data_ThZn2Cu4
_chemical_formula_sum 'Th2 Zn4 Cu8'
_cell_length_a 7.257
_cell_length_b 7.257
_cell_length_c 5.200
_cell_angle_alpha 90.00
_cell_angle_beta 90.00
_cell_angle_gamma 90.00
_space_group_name_H-M_alt 'I 4/m m m'
_space_group_IT_number 139
_space_group_name_Hall '-I 4 2'
loop_
_atom_site_label
_atom_site_type_symbol
_atom_site_fract_x
_atom_site_fract_y
_atom_site_fract_z
Th1 Th 0.000 0.000 0.000
Zn1 Zn 0.000 0.500 0.250
Cu1 Cu 0.000 0.227 0.500
# Formation energy from the elements (meV per atom): 299

# ThZn3Cu3 PBE relaxed
data_ThZn3Cu3
_chemical_formula_sum 'Th2 Zn6 Cu6'
_cell_length_a 8.292
_cell_length_b 4.018
_cell_length_c 8.323
_cell_angle_alpha 90.00
_cell_angle_beta 119.78
_cell_angle_gamma 90.00
_space_group_name_H-M_alt 'P 1 21/m 1'
_space_group_IT_number 11
loop_
_space_group_symop_operation_xyz
'x,y,z'
'-x,-y,-z'
'-x,y+1/2,-z'
'x,-y+1/2,z'
loop_
_atom_site_label
_atom_site_type_symbol
_atom_site_fract_x
_atom_site_fract_y
_atom_site_fract_z
Th1 Th 0.167 0.250 0.332
Zn1 Zn 0.243 0.250 0.962
Zn2 Zn 0.279 0.750 0.743
Zn3 Zn 0.463 0.750 0.221
Cu1 Cu 0.059 0.250 0.611
Cu2 Cu 0.112 0.750 0.052
Cu3 Cu 0.447 0.750 0.559
# Formation energy from the elements (meV per atom): -37

# Th4ZnCu PBE relaxed
data_Th4ZnCu
_chemical_formula_sum 'Th8 Zn2 Cu2'
_cell_length_a 7.477
_cell_length_b 7.477
_cell_length_c 5.638
_cell_angle_alpha 90.00
_cell_angle_beta 90.00
_cell_angle_gamma 90.00
_space_group_name_H-M_alt 'P 4/m c c'
_space_group_IT_number 124
_space_group_name_Hall '-P 4 2c'
loop_
_atom_site_label
_atom_site_type_symbol
_atom_site_fract_x
_atom_site_fract_y
_atom_site_fract_z
Th1 Th 0.155 0.338 0.000
Zn1 Zn 0.500 0.500 0.250
Cu1 Cu 0.000 0.000 0.250
# Formation energy from the elements (meV per atom): -113

# Th3Zn6Cu5 PBE relaxed
data_Th3Zn6Cu5
_chemical_formula_sum 'Th6 Zn12 Cu10'
_cell_length_a 4.392
_cell_length_b 8.823
_cell_length_c 12.935
_cell_angle_alpha 90.00
_cell_angle_beta 90.00
_cell_angle_gamma 90.00
_space_group_name_H-M_alt 'I m m m'
_space_group_IT_number 71
_space_group_name_Hall '-I 2 2'
loop_
_atom_site_label
_atom_site_type_symbol
_atom_site_fract_x
_atom_site_fract_y
_atom_site_fract_z
Th1 Th 0.000 0.000 0.000
Th2 Th 0.000 0.000 0.286
Zn1 Zn 0.000 0.181 0.500
Zn2 Zn 0.000 0.288 0.136
Cu1 Cu 0.000 0.357 0.344
Cu2 Cu 0.000 0.500 0.000
# Formation energy from the elements (meV per atom): -222

# Th2Zn5Cu12 PBE relaxed
data_Th2Zn5Cu12
_chemical_formula_sum 'Th6 Zn15 Cu36'
_cell_length_a 8.7533
_cell_length_b 8.7533
_cell_length_c 12.7870
_cell_angle_alpha 90.00
_cell_angle_beta 90.00
_cell_angle_gamma 120.00
_space_group_name_H-M_alt 'R -3 m'
_space_group_IT_number 166
_space_group_name_Hall '-R 3 2"'
loop_
_atom_site_label
_atom_site_type_symbol
_atom_site_fract_x
_atom_site_fract_y
_atom_site_fract_z
Th1 Th 0.0000 0.0000 0.1478
Zn1 Zn 0.0000 0.0000 0.4005
Zn2 Zn 0.0000 0.5000 0.0000
Cu1 Cu 0.0000 0.2991 0.5000
Cu2 Cu 0.0010 0.5005 0.6533
# Formation energy from the elements (meV per atom): -140